Entry 1:
SmAsF | PBE | optimized geometry

Results
- E_form (uncorrected): -52.95 kcal/mol of atoms
- Uncorrected energy: -6.04 eV/atom
- Space-group type: P2_1/c
- Total moment: 0.0 Bohr magnetons per cell

Geometry as POSCAR:
```
SmAsF
1.0
5.6011 0.0000 0.0000
0.0000 7.2841 0.0000
-4.5719 0.0000 6.3311
Sm As F
4 4 4
Direct
0.1453 0.1716 0.2476
0.1453 0.3284 0.7476
0.8547 0.6716 0.2524
0.8547 0.8284 0.7524
0.2565 0.5507 0.1235
0.2565 0.9493 0.6235
0.7435 0.0507 0.3765
0.7435 0.4493 0.8765
0.1288 0.0937 0.9420
0.1288 0.4063 0.4420
0.8712 0.5937 0.5580
0.8712 0.9063 0.0580
```

Entry 2:
MgRe2Pt | PBE | optimized geometry

Results
- Uncorrected energy: -8.12 eV/atom
- Fermi-level density of states: 0.850 states/eV/atom
- Space-group type: Cm
- Total moment: 0.0 Bohr magnetons per cell
- Formation energy: 0.011 eV/atom

Geometry as POSCAR:
```
MgRe2Pt
1.0
4.5654 -1.3608 0.0000
4.5654 1.3608 0.0000
-0.6560 0.0000 5.0142
Mg Re Pt
1 2 1
Direct
0.0000 0.0000 0.0000
0.5184 0.5184 0.4935
0.7626 0.7626 0.3091
0.2500 0.2500 0.8122
```

Entry 3:
LiZrHg2 | PBE | optimized geometry

Results
- Uncorrected energy: -2.82 eV/atom
- Fermi-level density of states: 0.818 states/eV/atom
- Space-group type: C2/m
- Total moment: 0.0 Bohr magnetons per cell
- Formation energy: -0.050 eV/atom

Geometry as POSCAR:
```
LiZrHg2
1.0
4.4296 -1.6237 0.0000
4.4296 1.6237 0.0000
-1.2173 0.0000 5.9511
Li Zr Hg
1 1 2
Direct
0.0000 0.0000 0.0000
0.5000 0.5000 0.5000
0.2564 0.2564 0.7736
0.7436 0.7436 0.2264
```

Entry 4:
ScInAs2Os | PBE | optimized geometry

Results
- Uncorrected energy: -4.99 eV/atom
- Fermi-level density of states: 1.038 states/eV/atom
- Space-group type: P4/mmm
- Total moment: 1.0 Bohr magnetons per cell
- Formation energy: 0.931 eV/atom

Geometry as POSCAR:
```
ScInAs2Os
1.0
5.0063 0.0000 0.0000
0.0000 5.0063 0.0000
0.0000 0.0000 4.9749
Sc In As Os
1 1 2 1
Direct
0.0000 0.0000 0.0000
0.5000 0.5000 0.5000
0.0000 0.5000 0.0000
0.5000 0.0000 0.0000
0.0000 0.0000 0.5000
```

Entry 5:
ZnFe2Sb | PBE | optimized geometry

Results
- E_form (uncorrected): 4.57 kcal/mol of atoms
- Uncorrected energy: -5.38 eV/atom
- Fermi-level density of states: 0.788 states/eV/atom
- Space-group type: Fm-3m
- Total moment: 0.0 Bohr magnetons per cell

Geometry as POSCAR:
```
ZnFe2Sb
1.0
0.0000 2.9917 2.9917
2.9917 0.0000 2.9917
2.9917 2.9917 0.0000
Zn Fe Sb
1 2 1
Direct
0.0000 0.0000 0.0000
0.2500 0.2500 0.2500
0.7500 0.7500 0.7500
0.5000 0.5000 0.5000
```

Entry 6:
U3Nb2WC6 | PBE | optimized geometry

Results
- Uncorrected energy: -10.54 eV/atom
- Fermi-level density of states: 0.898 states/eV/atom
- Space-group type: C2/m
- Total moment: 0.8 Bohr magnetons per cell
- Formation energy: -0.351 eV/atom

Geometry as POSCAR:
```
U3Nb2WC6
1.0
2.8201 -4.8868 0.0000
2.8201 4.8868 0.0000
-1.8831 0.0000 5.5580
U Nb W C
3 2 1 6
Direct
0.0000 0.0000 0.0000
0.3313 0.6687 0.0000
0.6687 0.3313 0.0000
0.1664 0.8336 0.5000
0.8336 0.1664 0.5000
0.5000 0.5000 0.5000
0.0972 0.4248 0.2744
0.2486 0.2486 0.7283
0.4248 0.0972 0.2744
0.5752 0.9028 0.7256
0.7514 0.7514 0.2717
0.9028 0.5752 0.7256
```

Mass density for the records above, in order: 6.28, 15.77, 9.69, 6.66, 9.27, 12.53 g cm⁻³